Record 1
The following is a PBE calculation of a relaxed structure of In2Bi2Pb, from the Alexandria database.

Computed properties:
* energy of formation: 0.09 eV per atom
* distance to the lowest polymorph of the same formula: 0.0665 eV/atom
* size of the total moment: 0.00 μB per cell
* SG: P4/mbm, No. 127

Cell and atoms, written as POSCAR:
```
In2Bi2Pb
1.0
8.660 0.000 0.000
0.000 8.660 0.000
0.000 0.000 4.067
In Bi Pb
4 4 2
Cartesian
1.149 3.181 0.000 In
3.181 7.511 0.000 In
5.478 1.149 0.000 In
7.511 5.478 0.000 In
1.427 5.757 2.034 Bi
2.903 1.427 2.034 Bi
5.757 7.232 2.034 Bi
7.232 2.903 2.034 Bi
0.000 0.000 0.000 Pb
4.330 4.330 0.000 Pb
```



Record 2
The following is a PBE calculation of a relaxed structure of Mn4CoCu, from the Alexandria database.

Computed properties:
* energy of formation: 0.35 eV per atom
* size of the total moment: 5.45 μB per cell
* SG: F-43m, No. 216

Cell and atoms, written as POSCAR:
```
Mn4CoCu
1.0
0.000 3.269 3.269
3.269 0.000 3.269
3.269 3.269 0.000
Mn Co Cu
4 1 1
Cartesian
0.820 0.820 0.820 Mn
2.449 2.449 0.820 Mn
2.449 0.820 2.449 Mn
0.820 2.449 2.449 Mn
4.904 4.904 4.904 Co
3.269 3.269 3.269 Cu
```



Record 3
The following is a PBE calculation of a relaxed structure of CsCuSbI5, from the Alexandria database.

Computed properties:
* formation energy without anion corrections: -575 meV/atom
* size of the total moment: 0.00 μB per cell
* SG: C2/c, No. 15

Cell and atoms, written as POSCAR:
```
CsCuSbI5
1.0
5.145 -6.771 0.000
5.145 6.771 0.000
-4.572 0.000 10.443
Cs Cu Sb I
2 2 2 10
Cartesian
1.716 4.812 7.833 Cs
4.002 -4.812 2.611 Cs
4.002 4.115 2.611 Cu
1.716 -4.115 7.833 Cu
5.145 0.000 0.000 Sb
2.859 0.000 5.222 Sb
-2.217 1.118 9.664 I
2.292 2.829 4.108 I
0.069 -1.118 4.443 I
5.711 2.829 1.114 I
1.716 1.012 7.833 I
4.002 -1.012 2.611 I
0.007 -2.829 9.330 I
5.649 1.118 6.001 I
3.425 -2.829 6.335 I
7.934 -1.118 0.779 I
```